(1)
VASP calculation (PBE) on a geometry-optimized Cs3BiAu structure.

Output
Magnetization (μB/f.u.): 0.1
Energy above the lowest structure with this stoichiometry (meV per atom): 52
E_form (eV/atom): -0.255
Total DFT energy (no corrections) (eV for the cell shown): -21.99
Volume (Å³ per atom): 51.06

abc: 10.6949 10.6949 10.9313
angles: 104.18 104.18 24.95
Sites, in units of the cell vectors:
Cs 0.0807 0.0807 0.1291
Cs 0.2261 0.2261 0.7914
Cs 0.4050 0.4050 0.5279
Cs 0.5950 0.5950 0.4721
Cs 0.7739 0.7739 0.2086
Cs 0.9193 0.9193 0.8709
Bi 0.4252 0.4252 0.1747
Bi 0.5748 0.5748 0.8253
Au 0.2183 0.2183 0.4269
Au 0.7817 0.7817 0.5731



(2)
VASP calculation (PBE) on a geometry-optimized Dy2Al4Zn3Pd structure.

Output
Magnetization (μB/f.u.): 0.0
E_form (eV/atom): -0.484
Total DFT energy (no corrections) (eV for the cell shown): -38.03
Volume (Å³ per atom): 18.49

abc: 4.1086 4.1086 10.9533
angles: 90.00 90.00 90.00
Sites, in units of the cell vectors:
Dy 0.0000 0.5000 0.2465
Dy 0.5000 0.0000 0.7535
Al 0.0000 0.0000 0.0000
Al 0.0000 0.5000 0.6350
Al 0.5000 0.0000 0.3650
Al 0.5000 0.5000 0.0000
Zn 0.0000 0.5000 0.8588
Zn 0.5000 0.0000 0.1412
Zn 0.5000 0.5000 0.5000
Pd 0.0000 0.0000 0.5000



(3)
VASP calculation (PBE) on a geometry-optimized VNiAu2 structure.

Output
Magnetization (μB/f.u.): 2.9
Energy above the lowest structure with this stoichiometry (meV per atom): 31
E_form (eV/atom): 0.100
Total DFT energy (no corrections) (eV for the cell shown): -21.05
Volume (Å³ per atom): 15.51

abc: 4.0651 4.0651 3.7539
angles: 90.00 90.00 90.00
Sites, in units of the cell vectors:
V 0.0000 0.0000 0.0000
Ni 0.5000 0.5000 0.0000
Au 0.0000 0.5000 0.5000
Au 0.5000 0.0000 0.5000